Record 1
Entry from the Alexandria database: a PBEsol-optimized structure of PmGaAg2 (SCAN).

Geometry as POSCAR:
```
PmGaAg2
1.0
0.0000 3.4068 3.4068
3.4068 0.0000 3.4068
3.4068 3.4068 0.0000
Pm Ga Ag
1 1 2
Cartesian
0.0000 0.0000 0.0000 Pm
3.4068 3.4068 3.4068 Ga
1.7034 1.7034 1.7034 Ag
5.1103 5.1103 5.1103 Ag
```

- SG: Fm-3m, No. 225
- Electronic total energy: -31.115 eV/atom
- Total magnetic moment: 0.0 μB/f.u.
- Density: 9.039 Mg/m³

=====

Record 2
Entry from the Alexandria database: a PBEsol-optimized structure of LaSb2Rh (SCAN).

Geometry as POSCAR:
```
LaSb2Rh
1.0
2.0941 1.2090 6.8440
-2.0941 1.2090 6.8440
0.0000 -2.4181 6.8440
La Sb Rh
1 2 1
Cartesian
0.0000 0.0000 0.0000 La
0.0000 0.0000 11.0231 Sb
0.0000 0.0000 15.9808 Sb
0.0000 0.0000 5.3753 Rh
```

- SG: R3m, No. 160
- Electronic total energy: -38.293 eV/atom
- Formation energy (no corrections): -171.3 kJ/mol of formula units
- Total magnetic moment: 0.0 μB/f.u.
- Density: 7.751 Mg/m³

=====

Record 3
Entry from the Alexandria database: a PBEsol-optimized structure of AgMoAs2 (SCAN).

Geometry as POSCAR:
```
AgMoAs2
1.0
-2.1195 2.1195 3.5864
2.1195 -2.1195 3.5864
2.1195 2.1195 -3.5864
Ag Mo As
1 1 2
Cartesian
0.0000 0.0000 0.0000 Ag
0.0000 0.0000 3.5864 Mo
2.1195 0.0000 1.7932 As
0.0000 2.1195 1.7932 As
```

- SG: I4/mmm, No. 139
- Relative energy among the computed polymorphs: 0.74 eV per formula unit
- Electronic total energy: -26.271 eV/atom
- Total magnetic moment: 0.0 μB/f.u.
- Density: 9.113 Mg/m³

=====

Record 4
Entry from the Alexandria database: a PBEsol-optimized structure of ZnSbPt2 (SCAN).

Geometry as POSCAR:
```
ZnSbPt2
1.0
4.4913 -1.7882 0.0000
4.4913 1.7882 0.0000
-1.2615 0.0000 4.1168
Zn Sb Pt
1 1 2
Cartesian
0.0000 0.0000 0.0000 Zn
1.2937 0.0000 2.6381 Sb
3.8428 0.0000 1.9715 Pt
6.4449 0.0000 0.5133 Pt
```

- SG: Cm, No. 8
- Electronic total energy: -48.105 eV/atom
- Formation energy (no corrections): -121.3 kJ/mol of formula units
- Total magnetic moment: 0.0 μB/f.u.
- Density: 14.498 Mg/m³

=====

Record 5
Entry from the Alexandria database: a PBEsol-optimized structure of Ca2AgAs (SCAN).

Geometry as POSCAR:
```
Ca2AgAs
1.0
4.3541 0.0000 0.0000
0.0000 2.0474 5.4813
0.0000 -2.0474 5.4813
Ca Ag As
2 1 1
Cartesian
0.0000 0.0000 0.0000 Ca
2.1770 0.0000 3.0637 Ca
2.1770 0.0000 6.2161 Ag
0.0000 0.0000 7.9064 As
```

- SG: Amm2, No. 38
- Electronic total energy: -18.554 eV/atom
- Total magnetic moment: 0.0 μB/f.u.
- Density: 4.468 Mg/m³

=====

Record 6
Entry from the Alexandria database: a PBEsol-optimized structure of YSiI2 (SCAN).

Geometry as POSCAR:
```
YSiI2
1.0
0.0000 3.7268 3.7268
3.7268 0.0000 3.7268
3.7268 3.7268 0.0000
Y Si I
1 1 2
Cartesian
0.0000 0.0000 0.0000 Y
3.7268 3.7268 3.7268 Si
1.8634 1.8634 1.8634 I
5.5902 5.5902 5.5902 I
```

- SG: Fm-3m, No. 225
- Electronic total energy: -27.876 eV/atom
- Formation energy (no corrections): -15.8 kJ/mol of formula units
- Total magnetic moment: 0.0 μB/f.u.
- Density: 5.948 Mg/m³